1.
First-principles (PBE-GGA) data for a geometry-optimized RbMgInS3 structure, as listed in Alexandria via LeMat-Bulk.

abc: 8.4737 3.9272 10.5949
angles: 90.00 112.19 90.00
Space group P2_1/m (No. 11)
Symmetry-distinct sites (fractional):
Rb: 0.2393 0.2500 0.2396 x2
Mg: 0.3408 0.7500 0.9172 x2
In: 0.1625 0.2500 0.6481 x2
S: 0.1136 0.2500 0.8640 x2
S: 0.1903 0.7500 0.5106 x2
S: 0.4932 0.2500 0.8345 x2

Results
Uncorrected formation energy: -97 kJ/mol of atoms
Calculated volume: 27.21 Å³ per atom

***

2.
First-principles (PBE-GGA) data for a geometry-optimized Mg2PRh structure, as listed in Alexandria via LeMat-Bulk.

abc: 3.5219 4.0434 9.8003
angles: 90.00 90.00 90.00
Space group Amm2 (No. 38)
Symmetry-distinct sites (fractional):
Mg: 0.0000 0.0000 0.0000 x2
Mg: 0.5000 0.0000 0.2945 x2
P: 0.0000 0.0000 0.7258 x2
Rh: 0.5000 0.0000 0.5798 x2

Results
ΔH_f (0 K): -0.56 eV/atom
Calculated volume: 17.44 Å³ per atom

***

3.
First-principles (PBE-GGA) data for a geometry-optimized ScSbTe2Mo structure, as listed in Alexandria via LeMat-Bulk.

abc: 5.3789 5.3789 5.1681
angles: 90.00 90.00 90.00
Space group P4/mmm (No. 123)
Symmetry-distinct sites (fractional):
Sc: 0.0000 0.0000 0.0000 x1
Sb: 0.5000 0.5000 0.0000 x1
Te: 0.0000 0.5000 0.5000 x2
Mo: 0.5000 0.5000 0.5000 x1

Results
Uncorrected formation energy: 40 kJ/mol of atoms
Calculated volume: 29.91 Å³ per atom

***

4.
First-principles (PBE-GGA) data for a geometry-optimized Ni5Pt6Rh structure, as listed in Alexandria via LeMat-Bulk.

abc: 3.8503 7.4192 11.5407
angles: 90.00 90.00 90.00
Space group Immm (No. 71)
Symmetry-distinct sites (fractional):
Ni: 0.0000 0.0000 0.0000 x2
Ni: 0.0000 0.0000 0.3364 x4
Ni: 0.0000 0.5000 0.3298 x4
Pt: 0.0000 0.2439 0.1680 x8
Pt: 0.0000 0.2599 0.5000 x4
Rh: 0.0000 0.5000 0.0000 x2

Results
ΔH_f (0 K): -0.08 eV/atom
Calculated volume: 13.74 Å³ per atom

***

5.
First-principles (PBE-GGA) data for a geometry-optimized SnBiPd structure, as listed in Alexandria via LeMat-Bulk.

abc: 3.3439 3.3439 12.8467
angles: 90.00 90.00 90.00
Space group I4mm (No. 107)
Symmetry-distinct sites (fractional):
Sn: 0.0000 0.0000 0.0000 x2
Bi: 0.0000 0.0000 0.7263 x2
Pd: 0.0000 0.0000 0.3694 x2

Results
ΔH_f (0 K): -0.25 eV/atom
Calculated volume: 23.94 Å³ per atom

***

6.
First-principles (PBE-GGA) data for a geometry-optimized Co2SbP structure, as listed in Alexandria via LeMat-Bulk.

abc: 2.8836 2.8836 6.7256
angles: 90.00 90.00 90.00
Space group P4/mmm (No. 123)
Symmetry-distinct sites (fractional):
Co: 0.0000 0.0000 0.1828 x2
Sb: 0.5000 0.5000 0.5000 x1
P: 0.5000 0.5000 0.0000 x1

Results
Uncorrected formation energy: 6 kJ/mol of atoms
Calculated volume: 13.98 Å³ per atom